Entry 1:
Material: Cs2NaP2Se6
Method: DFT, PBE
State: optimized geometry

Structure (extended XYZ):
```
11
Lattice="-4.3620 -2.9766 -5.1576 0.2855 -3.2044 6.8902 -4.5344 7.2367 -0.3415" Properties=species:S:1:pos:R:3 pbc="T T T"
Se -4.8470 4.7068 -1.2523
Se -2.0490 -0.1560 1.8230
Se -1.5779 -2.1595 5.2279
Se -3.7639 -3.6511 2.6433
Se -6.5619 1.2117 -0.4319
Se -7.0329 3.2152 -3.8369
P -7.7837 0.2946 1.1307
P -0.8272 0.7611 0.2603
Cs -4.5170 3.0002 2.0888
Cs -4.0939 -1.9445 -0.6977
Na -4.4482 2.1300 -2.7496
```

Calculated values
The density of states at the Fermi level comes out at 0.909 states/eV/atom. The calculation puts the raw formation energy at -58.12 kJ/mol of atoms. The total energy comes out at -3.762 eV/atom.

Entry 2:
Material: AgMoAs2
Method: DFT, PBE
State: optimized geometry

Structure (extended XYZ):
```
4
Lattice="-0.2744 4.8513 1.2669 0.2562 2.9882 4.0274 4.3362 1.2671 0.0218" Properties=species:S:1:pos:R:3 pbc="T T T"
As 2.8599 6.8201 4.0532
As 0.4391 0.1379 0.0087
Mo 2.3946 4.4533 2.5453
Ag 0.7834 2.2485 1.3670
```

Calculated values
The density of states at the Fermi level comes out at 0.679 states/eV/atom. The relative energy among the computed polymorphs is 0.180 eV/atom. The total energy comes out at -5.562 eV/atom.